1.
{
  "formula": "TlCrSe2Br",
  "functional": "SCAN",
  "state": "PBEsol geometry",
  "cell": [[5.259, 0.000, 0.000], [0.000, 5.259, 0.000], [0.000, 0.000, 5.486]],
  "species": ["Se", "Se", "Cr", "Tl", "Br"],
  "frac_coords": [[0.000, 0.500, 0.000], [0.500, 0.000, 0.000], [0.500, 0.500, 0.500], [0.000, 0.000, 0.000], [0.000, 0.000, 0.500]],
  "e_form_raw_ev_per_fu": 2.3
}



2.
{
  "formula": "ZnCrSeBr2",
  "functional": "SCAN",
  "state": "PBEsol geometry",
  "cell": [[4.708, 0.000, 0.000], [0.000, 5.043, 0.000], [0.000, 0.000, 5.043]],
  "species": ["Cr", "Se", "Br", "Br", "Zn"],
  "frac_coords": [[0.000, 0.000, 0.000], [0.500, 0.000, 0.000], [0.000, 0.500, 0.000], [0.000, 0.000, 0.500], [0.500, 0.500, 0.500]],
  "e_form_raw_ev_per_fu": -0.8
}



no.,final energy (eV/atom)
1,-29.612
2,-18.349